(1)
Material: LiTl2Hg5
Method: DFT, GGA-PBE
State: optimized geometry

Summary:
Energy of formation from the pure elements = -0.085 eV/atom
VASP energy = -1.104 eV per atom
Polymorph energy (0 for the lowest one) = 0.000 eV per atom

Cell: 4.7528 4.7528 18.1978 Å, 90.00 90.00 90.00°
Closest atoms and distances in Å follow each position.
Atoms (fractional coordinates):
Li: 0.0000 0.0000 0.0000  12 Hg 3.16-3.36
Li: 0.5000 0.5000 0.5000  12 Hg 3.16-3.36
Tl: 0.0000 0.0000 0.2488  4 Tl 3.36, 8 Hg 3.41-3.45
Tl: 0.0000 0.0000 0.7512  4 Tl 3.36, 8 Hg 3.41-3.45
Tl: 0.5000 0.5000 0.2512  4 Tl 3.36, 8 Hg 3.41-3.45
Tl: 0.5000 0.5000 0.7488  4 Tl 3.36, 8 Hg 3.41-3.45
Hg: 0.0000 0.0000 0.5000  8 Hg 3.16, 4 Li 3.36
Hg: 0.0000 0.5000 0.1141  6 Hg 3.16-3.36, 2 Li 3.16, 4 Tl 3.41-3.45
Hg: 0.0000 0.5000 0.3859  6 Hg 3.16-3.36, 2 Li 3.16, 4 Tl 3.41-3.45
Hg: 0.0000 0.5000 0.6141  6 Hg 3.16-3.36, 2 Li 3.16, 4 Tl 3.41-3.45
Hg: 0.0000 0.5000 0.8859  6 Hg 3.16-3.36, 2 Li 3.16, 4 Tl 3.41-3.45
Hg: 0.5000 0.0000 0.1141  6 Hg 3.16-3.36, 2 Li 3.16, 4 Tl 3.41-3.45
Hg: 0.5000 0.0000 0.3859  6 Hg 3.16-3.36, 2 Li 3.16, 4 Tl 3.41-3.45
Hg: 0.5000 0.0000 0.6141  6 Hg 3.16-3.36, 2 Li 3.16, 4 Tl 3.41-3.45
Hg: 0.5000 0.0000 0.8859  6 Hg 3.16-3.36, 2 Li 3.16, 4 Tl 3.41-3.45
Hg: 0.5000 0.5000 0.0000  8 Hg 3.16, 4 Li 3.36

(2)
Material: Li5TlHg6
Method: DFT, GGA-PBE
State: optimized geometry

Summary:
Energy of formation from the pure elements = -0.290 eV/atom
VASP energy = -1.435 eV per atom

Cell: 4.8429 6.9279 7.6527 Å, 90.00 107.21 90.00°
Closest atoms and distances in Å follow each position.
Atoms (fractional coordinates):
Li: 0.0000 0.0000 0.0000  8 Hg 2.87-3.11
Li: 0.3320 0.0000 0.6712  8 Hg 2.83-2.95
Li: 0.3363 0.5000 0.6765  8 Hg 2.94-3.05
Li: 0.6637 0.5000 0.3235  8 Hg 2.94-3.05
Li: 0.6680 0.0000 0.3288  8 Hg 2.83-2.95
Tl: 0.0000 0.5000 0.0000  8 Hg 3.09-3.18, 6 Li 3.34-3.46
Hg: 0.1832 0.2400 0.3586  7 Li 2.83-3.11
Hg: 0.1832 0.7600 0.3586  7 Li 2.83-3.11
Hg: 0.5000 0.2220 0.0000  6 Li 2.85-3.05, 1 Hg 3.08, 2 Tl 3.09
Hg: 0.5000 0.7780 0.0000  6 Li 2.85-3.05, 1 Hg 3.08, 2 Tl 3.09
Hg: 0.8168 0.2400 0.6414  7 Li 2.83-3.11
Hg: 0.8168 0.7600 0.6414  7 Li 2.83-3.11

(3)
Material: Li4Tl2Hg3
Method: DFT, GGA-PBE
State: optimized geometry

Summary:
Energy of formation from the pure elements = -0.263 eV/atom
VASP energy = -1.740 eV per atom

Cell: 4.8276 4.8337 9.1111 Å, 89.85 89.94 60.10°
Closest atoms and distances in Å follow each position.
Atoms (fractional coordinates):
Li: 0.0001 0.0023 0.1675  4 Hg 2.92-3.03, 3 Tl 3.02, 1 Li 3.05
Li: 0.9999 0.9977 0.8325  4 Hg 2.92-3.03, 3 Tl 3.02, 1 Li 3.05
Li: 0.3326 0.3325 0.6151  4 Hg 2.86-2.99, 4 Tl 2.91-2.92
Li: 0.6674 0.6675 0.3849  4 Hg 2.86-2.99, 4 Tl 2.91-2.92
Tl: 0.3338 0.3350 0.2945  7 Li 2.91-3.02
Tl: 0.6662 0.6650 0.7055  7 Li 2.91-3.02
Hg: 0.0000 0.0000 0.5000  8 Li 2.97-3.03
Hg: 0.3333 0.3325 0.9293  4 Li 2.86-2.93, 3 Hg 3.07-3.08
Hg: 0.6667 0.6675 0.0707  4 Li 2.86-2.93, 3 Hg 3.07-3.08

Question: What is the energy of formation from the pure elements in the first record?
Answer: -0.085 eV/atom